Ba2CrSe | PBEsol | relaxed

The volume comes out at 32.34 Å³/atom. The crystal system is orthorhombic. For the formation energy from raw total energies, the calculation gives -302.1 meV/atom. Its space-group type is No. 44.

a b c (Å): 4.194 4.775 7.198
angles (deg): 109.37 106.94 90.00
Each line ends with the local moment (μB).
Fractional positions:
Ba  0.995  0.995  0.991  -0.01
Se  0.182  0.682  0.365  -0.01
Ba  0.767  0.267  0.534  -0.04
Cr  0.555  0.555  0.111  3.79

=====

TaReOs | PBEsol | relaxed

Its formation energy is 0.865 eV per atom. The calculation puts the distance to the lowest polymorph of the same formula at 0.261 eV per atom. The volume comes out at 18.06 Å³/atom. The crystal system is cubic. Its space-group type is No. 216.

a b c (Å): 4.247 4.247 4.247
angles (deg): 60.00 60.00 60.00
Fractional positions:
Re  0.500  0.500  0.500
Os  0.000  0.000  0.000
Ta  0.250  0.250  0.250